Here is Sm5Er4Tl after structural relaxation from Alexandria via LeMat-Bulk. Energies are from PBE.

a b c (Å): 4.1240 4.1240 18.5743
angles (deg): 90.00 90.00 90.00
Space group P4/mmm (No. 123)
Inequivalent atoms, fractional coordinates:
1 Sm 0.0000 0.0000 0.0000
2 Sm 0.0000 0.0000 0.2032
3 Sm 0.0000 0.0000 0.4082
4 Er 0.5000 0.5000 0.1021
5 Er 0.5000 0.5000 0.3024
6 Tl 0.5000 0.5000 0.5000

**Spin magnetization**: 0.01 Bohr magnetons per cell
**Formation energy from the elements**: 21 kJ/mol of formula units